A relaxed structure of Ag6GeF12. Source: the Open Quantum Materials Database, functional PBE-GGA.

abc: 9.8772 9.8772 9.5394
angles: 90.00 90.00 120.00
Space group R-3 (No. 148, hexagonal axes)
Unique sites:
Ag 0.0428 0.7960 0.1514 [18 per cell]
Ge 0.0000 0.0000 0.5000 [3 per cell]
F 0.0244 0.7905 0.9003 [18 per cell]
F 0.0634 0.8893 0.3913 [18 per cell]

Summary:
DFT total energy: -3.75 eV/atom


A relaxed structure of AcCuPb. Source: the Open Quantum Materials Database, functional PBE-GGA.

abc: 4.7719 8.2378 8.7000
angles: 90.00 90.00 90.00
Space group Cmcm (No. 63)
Unique sites:
Ac 0.0000 0.0000 0.0000 [4 per cell]
Cu 0.0000 0.3323 0.2500 [4 per cell]
Pb 0.0000 0.3339 0.7500 [4 per cell]

Summary:
DFT total energy: -4.22 eV/atom
Energy relative to the lowest polymorph listed for this composition: 0 meV per atom